Crystalline AlGaIr2Pb at its relaxed geometry, computed with PBE-GGA.

Results
ΔE_f in meV per atom: 1012.3
Calculated total energy in eV per atom: -4.6276
Space-group type: P4/mmm, No. 123
Calculated density in g cm⁻³: 10.25

Lattice parameters (Å, degrees): 4.662 5.130 4.662 90.00 90.00 90.00
Fractional positions:
1 Pb 0.000 0.500 0.000
2 Ir 0.000 0.000 0.500
3 Ir 0.500 0.000 0.000
4 Al 0.500 0.500 0.500
5 Ga 0.000 0.000 0.000



Crystalline Li6TlGa2 at its relaxed geometry, computed with PBE-GGA.

Results
ΔE_f in meV per atom: -228.4
Calculated total energy in eV per atom: -2.4398
Space-group type: C2/m, No. 12
Calculated density in g cm⁻³: 4.19

Lattice parameters (Å, degrees): 2.813 8.417 8.417 55.88 70.58 70.58
Fractional positions:
1 Li 0.164 0.000 0.339
2 Li 0.836 0.000 0.661
3 Li 0.836 0.661 0.000
4 Li 0.500 0.340 0.660
5 Li 0.500 0.660 0.340
6 Li 0.164 0.339 0.000
7 Tl 0.000 0.000 0.000
8 Ga 0.333 0.333 0.333
9 Ga 0.667 0.667 0.667



Crystalline MgBe5 at its relaxed geometry, computed with PBE-GGA.

Results
Energy relative to the lowest polymorph listed for this composition in meV per atom: 72.9
ΔE_f in meV per atom: 128.8
Calculated total energy in eV per atom: -3.2422
Space-group type: F-43m, No. 216
Calculated density in g cm⁻³: 1.93

Lattice parameters (Å, degrees): 4.386 4.386 4.386 60.00 60.00 60.00
Fractional positions:
1 Mg 0.000 0.000 0.000
2 Be 0.873 0.376 0.376
3 Be 0.750 0.750 0.750
4 Be 0.376 0.873 0.376
5 Be 0.376 0.376 0.376
6 Be 0.376 0.376 0.873



Crystalline NiAgBiRh at its relaxed geometry, computed with PBE-GGA.

Results
ΔE_f in meV per atom: 151.1
Calculated total energy in eV per atom: -4.8151
Space-group type: F-43m, No. 216
Calculated density in g cm⁻³: 11.64

Lattice parameters (Å, degrees): 4.587 4.587 4.587 60.00 60.00 60.00
Fractional positions:
1 Ni 0.250 0.250 0.250
2 Rh 0.750 0.750 0.750
3 Bi 0.000 0.000 0.000
4 Ag 0.500 0.500 0.500